No. 1
# PmNpTe2O

Crystalline PmNpTe2O at its relaxed geometry (PBE, Alexandria via LeMat-Bulk).

a = 4.1821 Å, b = 4.1821 Å, c = 15.9380 Å
α = 90.00°, β = 90.00°, γ = 90.00°
Site moments in Bohr magnetons follow the coordinates.
Positions (direct):
Pm  0.5000  0.0000  0.1360  -0.01
Pm  0.0000  0.5000  0.8640  -0.01
Np  0.5000  0.0000  0.5672  -3.76
Np  0.0000  0.5000  0.4328  -3.76
Te  0.0000  0.5000  0.6739  0.07
Te  0.0000  0.5000  0.0829  0.00
Te  0.5000  0.0000  0.9171  0.00
Te  0.5000  0.0000  0.3261  0.07
O  0.0000  0.0000  0.5000  0.11
O  0.5000  0.5000  0.5000  0.11

Calculated values
* volume: 278.8 Å³/cell
* formation energy without anion corrections: -1753 meV/atom
* total magnetization: 7.45 μB/cell
* D(E_F): 11.485 states/eV/cell
* SG: P4/nmm (129)
* electronic total energy: -7.539 eV/atom

=====

No. 2
# PmNpTeO2

Crystalline PmNpTeO2 at its relaxed geometry (PBE, Alexandria via LeMat-Bulk).

a = 4.1205 Å, b = 6.9220 Å, c = 7.9552 Å
α = 106.54°, β = 90.00°, γ = 90.00°
Site moments in Bohr magnetons follow the coordinates.
Positions (direct):
Pm  0.2500  0.6735  0.4147  0.04
Pm  0.7500  0.3265  0.5853  0.04
Np  0.2500  0.6742  0.9256  3.83
Np  0.7500  0.3258  0.0744  3.83
Te  0.2500  0.0520  0.7649  -0.04
Te  0.7500  0.9480  0.2351  -0.04
O  0.7500  0.5011  0.3729  -0.02
O  0.2500  0.4989  0.6271  -0.02
O  0.7500  0.5197  0.8821  -0.08
O  0.2500  0.4803  0.1179  -0.08

Calculated values
* volume: 217.5 Å³/cell
* formation energy without anion corrections: -2525 meV/atom
* total magnetization: 8.00 μB/cell
* D(E_F): 16.407 states/eV/cell
* SG: P2_1/m (11)
* electronic total energy: -8.675 eV/atom

=====

No. 3
# Pm2NpTlO8

Crystalline Pm2NpTlO8 at its relaxed geometry (PBE, Alexandria via LeMat-Bulk).

a = 4.0648 Å, b = 5.4281 Å, c = 7.8218 Å
α = 89.99°, β = 90.00°, γ = 96.78°
Positions (direct):
Pm  0.5000  0.5000  0.7549
Pm  0.5000  0.5000  0.2451
Np  0.0000  0.0000  0.0000
Tl  0.0000  0.0000  0.5000
O  0.0527  0.7634  0.2053
O  0.5639  0.7741  0.0000
O  0.9473  0.2365  0.2054
O  0.9473  0.2366  0.7947
O  0.4361  0.2259  0.0000
O  0.0527  0.7635  0.7946
O  0.6016  0.7381  0.5000
O  0.3984  0.2619  0.5000

Calculated values
* volume: 171.4 Å³/cell
* formation energy without anion corrections: -2529 meV/atom
* total magnetization: 0.00 μB/cell
* SG: P2/m (10)
* electronic total energy: -7.902 eV/atom

=====

No. 4
# PmTm2NpO8

Crystalline PmTm2NpO8 at its relaxed geometry (PBE, Alexandria via LeMat-Bulk).

a = 5.0708 Å, b = 5.0760 Å, c = 7.0333 Å
α = 90.00°, β = 90.00°, γ = 90.01°
Site moments in Bohr magnetons follow the coordinates.
Positions (direct):
Pm  0.0000  0.0000  0.5000  0.00
Tm  0.5000  0.5000  0.7396  0.00
Tm  0.5000  0.5000  0.2604  0.00
Np  0.0000  0.0000  0.0000  -0.08
O  0.1877  0.8117  0.2179  0.00
O  0.7179  0.7188  0.0000  0.00
O  0.8123  0.1883  0.2179  0.00
O  0.8123  0.1883  0.7821  0.00
O  0.2821  0.2812  0.0000  0.00
O  0.1877  0.8117  0.7821  0.00
O  0.6836  0.6843  0.5000  0.00
O  0.3164  0.3157  0.5000  0.00

Calculated values
* volume: 181.0 Å³/cell
* formation energy without anion corrections: -3186 meV/atom
* total magnetization: 0.06 μB/cell
* D(E_F): 0.377 states/eV/cell
* SG: Cmmm (65)
* electronic total energy: -8.711 eV/atom

=====

No. 5
# Pm2TmNpO8

Crystalline Pm2TmNpO8 at its relaxed geometry (PBE, Alexandria via LeMat-Bulk).

a = 3.8973 Å, b = 5.4983 Å, c = 7.5093 Å
α = 90.00°, β = 90.00°, γ = 94.29°
Positions (direct):
Pm  0.5000  0.5000  0.7408
Pm  0.5000  0.5000  0.2592
Tm  0.0000  0.0000  0.5000
Np  0.0000  0.0000  0.0000
O  0.0314  0.7708  0.2238
O  0.5496  0.7810  0.0000
O  0.9686  0.2291  0.2237
O  0.9686  0.2292  0.7762
O  0.4504  0.2190  0.0000
O  0.0314  0.7709  0.7763
O  0.5095  0.7563  0.5000
O  0.4905  0.2437  0.5000

Calculated values
* volume: 160.5 Å³/cell
* formation energy without anion corrections: -3150 meV/atom
* total magnetization: 0.00 μB/cell
* D(E_F): 0.552 states/eV/cell
* SG: P2/m (10)
* electronic total energy: -8.699 eV/atom

=====

No. 6
# PmTmNpO6

Crystalline PmTmNpO6 at its relaxed geometry (PBE, Alexandria via LeMat-Bulk).

a = 5.7179 Å, b = 5.7179 Å, c = 9.7354 Å
α = 90.00°, β = 90.00°, γ = 120.00°
Site moments in Bohr magnetons follow the coordinates.
Positions (direct):
Pm  0.0000  0.0000  0.0000  -0.01
Pm  0.0000  0.0000  0.5000  -0.01
Tm  0.3333  0.6667  0.2500  0.00
Tm  0.6667  0.3333  0.7500  0.00
Np  0.6667  0.3333  0.2500  1.21
Np  0.3333  0.6667  0.7500  1.21
O  0.6590  0.6384  0.1370  -0.03
O  0.9794  0.3410  0.1370  -0.03
O  0.3410  0.9794  0.6370  -0.03
O  0.0206  0.6590  0.8630  -0.03
O  0.3616  0.3410  0.3630  -0.03
O  0.9794  0.6384  0.3630  -0.03
O  0.6384  0.9794  0.8630  -0.03
O  0.6590  0.0206  0.3630  -0.03
O  0.0206  0.3616  0.6370  -0.03
O  0.3616  0.0206  0.1370  -0.03
O  0.6384  0.6590  0.6370  -0.03
O  0.3410  0.3616  0.8630  -0.03

Calculated values
* volume: 275.6 Å³/cell
* formation energy without anion corrections: -3220 meV/atom
* total magnetization: 2.00 μB/cell
* SG: P-31c (163)
* electronic total energy: -8.988 eV/atom